Entry 1:
A geometry-optimized KAuSe2 structure, computed with GGA-PBE.

Computed properties:
- E_form (uncorrected) (eV/atom) = -0.157
- D(E_F) (states/eV per cell) = 3.42

Geometry as CIF:
```
data_KAuSe2
_symmetry_space_group_name_H-M 'P 4 m m'
_symmetry_Int_Tables_number 99
_cell_length_a 3.6443
_cell_length_b 3.6443
_cell_length_c 8.6199
_cell_angle_alpha 90.00
_cell_angle_beta 90.00
_cell_angle_gamma 90.00
loop_
_symmetry_equiv_pos_as_xyz
'x,y,z'
'-y,x,z'
'-x,-y,z'
'y,-x,z'
'-x,y,z'
'y,x,z'
'x,-y,z'
'-y,-x,z'
loop_
_atom_site_label
_atom_site_type_symbol
_atom_site_fract_x
_atom_site_fract_y
_atom_site_fract_z
K1 K 0.0000 0.0000 0.0000
Au1 Au 0.5000 0.5000 0.5419
Se1 Se 0.0000 0.0000 0.6232
Se2 Se 0.5000 0.5000 0.2288
```



Entry 2:
A geometry-optimized CuPSe structure, computed with GGA-PBE.

Computed properties:
- E_form (uncorrected) (eV/atom) = 0.120
- D(E_F) (states/eV per cell) = 2.00

Geometry as CIF:
```
data_CuPSe
_symmetry_space_group_name_H-M 'I m m 2'
_symmetry_Int_Tables_number 44
_cell_length_a 2.7391
_cell_length_b 3.8491
_cell_length_c 10.9276
_cell_angle_alpha 90.00
_cell_angle_beta 90.00
_cell_angle_gamma 90.00
loop_
_symmetry_equiv_pos_as_xyz
'x,y,z'
'-x,-y,z'
'-x,y,z'
'x,-y,z'
'x+1/2,y+1/2,z+1/2'
'-x+1/2,-y+1/2,z+1/2'
'-x+1/2,y+1/2,z+1/2'
'x+1/2,-y+1/2,z+1/2'
loop_
_atom_site_label
_atom_site_type_symbol
_atom_site_fract_x
_atom_site_fract_y
_atom_site_fract_z
Cu1 Cu 0.0000 0.0000 0.0000
P1 P 0.0000 0.0000 0.4574
Se1 Se 0.0000 0.0000 0.2467
```



Entry 3:
A geometry-optimized TlPWS2 structure, computed with GGA-PBE.

Computed properties:
- E_form (uncorrected) (eV/atom) = 1.891
- D(E_F) (states/eV per cell) = 3.75

Geometry as CIF:
```
data_TlPWS2
_symmetry_space_group_name_H-M 'P 4/m m m'
_symmetry_Int_Tables_number 123
_symmetry_space_group_name_Hall '-P 4 2'
_cell_length_a 5.0075
_cell_length_b 5.0075
_cell_length_c 5.0114
_cell_angle_alpha 90.00
_cell_angle_beta 90.00
_cell_angle_gamma 90.00
loop_
_atom_site_label
_atom_site_type_symbol
_atom_site_fract_x
_atom_site_fract_y
_atom_site_fract_z
Tl1 Tl 0.0000 0.0000 0.0000
P1 P 0.0000 0.0000 0.5000
W1 W 0.5000 0.5000 0.5000
S1 S 0.0000 0.5000 0.0000
```